Crystalline Ce2HfSc at its relaxed geometry, computed with PBE.

Results
Crystal system: cubic
Excess energy over the best structure of this formula in the dataset (kJ/mol of formula units): 41

a = 5.288 Å, b = 5.288 Å, c = 5.288 Å
α = 60.00°, β = 60.00°, γ = 60.00°
Site moments in Bohr magnetons follow the coordinates.
Fractional coordinates of all 4 atoms:
Hf: 0.000 0.000 0.000  0.05
Sc: 0.500 0.500 0.500  0.05
Ce: 0.750 0.750 0.750  0.37
Ce: 0.250 0.250 0.250  0.37



Crystalline MgPOs4 at its relaxed geometry, computed with PBE.

Results
Crystal system: cubic

a = 5.185 Å, b = 5.185 Å, c = 5.185 Å
α = 60.00°, β = 60.00°, γ = 60.00°
Fractional coordinates of all 6 atoms:
P: 0.250 0.250 0.250
Os: 0.625 0.126 0.625
Os: 0.126 0.625 0.625
Os: 0.625 0.625 0.625
Os: 0.625 0.625 0.126
Mg: 0.000 0.000 0.000



Crystalline SrTaHg2 at its relaxed geometry, computed with PBE.

Results
Crystal system: orthorhombic

a = 4.138 Å, b = 3.171 Å, c = 7.964 Å
α = 66.49°, β = 90.00°, γ = 90.00°
Fractional coordinates of all 4 atoms:
Hg: 0.000 0.456 0.544
Ta: 0.500 0.750 0.750
Sr: 0.500 0.250 0.250
Hg: 0.000 0.044 0.956



For each record above, in turn, the calculated formation energy values are 226 767 226 meV per atom.